Entry 1:
## NdCo2BP (PBE)

Data for a geometry-optimized NdCo2BP structure.

Cell and atoms, written as POSCAR:
```
NdCo2BP
1.0
-1.8353 1.8353 5.2236
1.8353 -1.8353 5.2236
1.8353 1.8353 -5.2236
Nd Co B P
1 2 1 1
Cartesian
0.0000 0.0000 0.0000
1.8353 0.0000 2.7404
0.0000 1.8353 2.7404
0.0000 0.0000 3.5680
0.0000 0.0000 6.7226
```

SG: I4mm
Total moment: 0.006 Bohr magnetons per cell
Total energy: -34.730 eV/f.u.


Entry 2:
## K2HfS3 (PBE)

Data for a geometry-optimized K2HfS3 structure.

Cell and atoms, written as POSCAR:
```
K2HfS3
1.0
3.4591 -6.0132 0.0000
3.4591 6.0132 0.0000
-2.3894 0.0000 7.3117
K Hf S
4 2 6
Cartesian
0.0000 0.0000 0.0000
2.2644 4.1836 3.6558
2.2644 0.0000 3.6558
2.2644 -4.1836 3.6558
3.4591 2.0238 0.0000
3.4591 -2.0238 0.0000
1.3338 2.3302 1.4573
0.2809 0.0000 5.8829
1.3338 -2.3302 1.4573
3.1950 2.3302 5.8544
4.2479 0.0000 1.4288
3.1950 -2.3302 5.8544
```

SG: C2/m
Total moment: 0.005 Bohr magnetons per cell
Total energy: -33.412 eV/f.u.


Entry 3:
## Hf2ReSi (PBE)

Data for a geometry-optimized Hf2ReSi structure.

Cell and atoms, written as POSCAR:
```
Hf2ReSi
1.0
0.0000 3.2365 3.2365
3.2365 0.0000 3.2365
3.2365 3.2365 0.0000
Hf Re Si
2 1 1
Cartesian
0.0000 0.0000 0.0000
1.6182 1.6182 1.6182
4.8547 4.8547 4.8547
3.2365 3.2365 3.2365
```

SG: F-43m
Total moment: 0.001 Bohr magnetons per cell
Total energy: -38.124 eV/f.u.